No. 1
Compound: RbBOF2
Source: Alexandria
Functional: GGA-PBEsol
Structure: relaxed

Computed properties:
* space group: No. 123
* D(E_F): 6.1 states/eV/f.u.
* energy: -2.768 eV/atom

Cell lengths 4.844, 4.844, 4.429 Å; angles 90.00, 90.00, 90.00 degrees
Fractional positions:
Rb (0.000, 0.000, 0.000)
B (0.500, 0.500, 0.500)
O (0.000, 0.000, 0.500)
F (0.000, 0.500, 0.000)
F (0.500, 0.000, 0.000)

No. 2
Compound: ScGaRe2O
Source: Alexandria
Functional: GGA-PBEsol
Structure: relaxed

Computed properties:
* space group: No. 123
* D(E_F): 4.7 states/eV/f.u.
* energy: -8.433 eV/atom

Cell lengths 3.972, 3.972, 4.663 Å; angles 90.00, 90.00, 90.00 degrees
Fractional positions:
Sc (0.000, 0.000, 0.000)
Ga (0.500, 0.500, 0.000)
Re (0.000, 0.500, 0.500)
Re (0.500, 0.000, 0.500)
O (0.500, 0.500, 0.500)

No. 3
Compound: Be2PRuF
Source: Alexandria
Functional: GGA-PBEsol
Structure: relaxed

Computed properties:
* space group: No. 123
* D(E_F): 2.8 states/eV/f.u.
* energy: -5.053 eV/atom

Cell lengths 3.390, 3.390, 5.059 Å; angles 90.00, 90.00, 90.00 degrees
Fractional positions:
Be (0.000, 0.500, 0.000)
Be (0.500, 0.000, 0.000)
P (0.000, 0.000, 0.500)
Ru (0.500, 0.500, 0.500)
F (0.500, 0.500, 0.000)

Look up the D(E_F) of the second one.
4.7 states/eV/f.u.